Density functional theory data (PBE) for LiLuTlCo after structural relaxation.

ΔE to the lowest computed polymorph   0.89 eV/f.u.
Crystal system   cubic
Space group   No. 216
Total DFT energy (no corrections)   -3.831 eV per atom

Cell lengths 4.7087, 4.7087, 4.7087 Å; angles 60.00, 60.00, 60.00 degrees
With the nearest neighbours (Å) after each atom.
Sites, in units of the cell vectors:
Co  0.7500  0.7500  0.7500  4 Tl 2.88, 4 Li 2.88
Li  0.5000  0.5000  0.5000  4 Co 2.88, 4 Lu 2.88
Lu  0.2500  0.2500  0.2500  4 Tl 2.88, 4 Li 2.88
Tl  0.0000  0.0000  0.0000  4 Co 2.88, 4 Lu 2.88

---

Density functional theory data (PBE) for LiLuTlCo after structural relaxation.

ΔE to the lowest computed polymorph   0.00 eV/f.u.
Crystal system   cubic
Space group   No. 216
Total DFT energy (no corrections)   -4.054 eV per atom

Cell lengths 4.6276, 4.6276, 4.6276 Å; angles 60.00, 60.00, 60.00 degrees
With the nearest neighbours (Å) after each atom.
Sites, in units of the cell vectors:
Co  0.7500  0.7500  0.7500  4 Lu 2.83, 4 Tl 2.83
Li  0.2500  0.2500  0.2500  4 Tl 2.83, 4 Lu 2.83
Lu  0.5000  0.5000  0.5000  4 Co 2.83, 4 Li 2.83
Tl  0.0000  0.0000  0.0000  4 Li 2.83, 4 Co 2.83

---

no.,volume (A^3/atom)
1,18.455
2,17.518